No. 1
A geometry-optimized MnIn4Ni structure, computed with PBE.

The uncorrected energy comes out at -3.620 eV/atom. Its density of states at the Fermi level is 16.02 states/eV/cell. The total magnetization is 18.095 Bohr magnetons per cell. As for the volume: 564.5 Å³ per cell.

The structure belongs to space group F-43m (No. 216); the cell edges are 8.2644, 8.2644 and 8.2644 Å and the angles 90.00°, 90.00° and 90.00°. The asymmetric unit holds Mn at (0.0000, 0.0000, 0.0000), In at (0.1249, 0.1249, 0.3751) and Ni at (0.2500, 0.2500, 0.7500).


No. 2
A geometry-optimized AlP2Rh structure, computed with PBE.

The uncorrected energy comes out at -5.919 eV/atom. Its density of states at the Fermi level is 0.76 states/eV/cell. The total magnetization is 0.000 Bohr magnetons per cell. As for the volume: 62.5 Å³ per cell.

The structure belongs to space group P-3m1 (No. 164); the cell edges are 3.7962, 3.7962 and 5.0063 Å and the angles 90.00°, 90.00° and 120.00°. The asymmetric unit holds Al at (0.0000, 0.0000, 0.0000), P at (0.3333, 0.6667, 0.7281) and Rh at (0.0000, 0.0000, 0.5000).


No. 3
A geometry-optimized Ba2Na2Sr2Ir structure, computed with PBE.

The uncorrected energy comes out at -2.750 eV/atom. Its density of states at the Fermi level is 5.85 states/eV/cell. The total magnetization is 0.000 Bohr magnetons per cell. As for the volume: 325.2 Å³ per cell.

The structure belongs to space group P-1 (No. 2); the cell edges are 4.6863, 8.3214 and 9.5596 Å and the angles 115.06°, 104.14° and 90.04°. The asymmetric unit holds Ba at (0.1811, 0.1772, 0.3609), Na at (0.1241, 0.6190, 0.2497), Sr at (0.4990, 0.2261, 0.9976) and Ir at (0.0000, 0.0000, 0.0000).


No. 4
A geometry-optimized TcRh structure, computed with PBE.

Its density of states at the Fermi level is 13.25 states/eV/cell. The value obtained for the energy above the most stable polymorph in this dataset is 14.23 kcal/mol of atoms. The total magnetization is 0.000 Bohr magnetons per cell. As for the volume: 124.4 Å³ per cell.

The structure belongs to space group P6_3/mmc (No. 194); the cell edges are 4.2757, 4.2757 and 7.8563 Å and the angles 90.00°, 90.00° and 120.00°. The asymmetric unit holds Tc at (0.3333, 0.6667, 0.0883), Rh at (0.0000, 0.0000, 0.2500) and Rh at (0.3333, 0.6667, 0.7500).


No. 5
A geometry-optimized Na2SnPb5 structure, computed with PBE.

Its density of states at the Fermi level is 2.89 states/eV/cell. The value obtained for the energy above the most stable polymorph in this dataset is 0.44 kcal/mol of atoms. The total magnetization is 0.000 Bohr magnetons per cell. As for the volume: 237.3 Å³ per cell.

The structure belongs to space group P1 (No. 1); the cell edges are 6.8378, 6.8692 and 6.8865 Å and the angles 90.01°, 118.53° and 118.91°. The asymmetric unit holds Na at (0.0000, 0.0000, 0.0000), Na at (0.5004, 0.5004, 0.5004), Sn at (0.0004, 0.5005, 0.5005), Pb at (0.0005, 0.0007, 0.5002), Pb at (0.0003, 0.5003, 0.0010), Pb at (0.4998, 0.9998, 0.9998), Pb at (0.5003, 0.5001, 0.0006) and Pb at (0.5010, 0.0010, 0.5003).


No. 6
A geometry-optimized Pm4Mg3Zn structure, computed with PBE.

The uncorrected energy comes out at -3.287 eV/atom. Its density of states at the Fermi level is 10.17 states/eV/cell. The total magnetization is 0.000 Bohr magnetons per cell. As for the volume: 221.8 Å³ per cell.

The structure belongs to space group P4/mmm (No. 123); the cell edges are 3.7784, 3.7784 and 15.5371 Å and the angles 90.00°, 90.00° and 90.00°. The asymmetric unit holds Pm at (0.0000, 0.0000, 0.1110), Pm at (0.0000, 0.0000, 0.3715), Mg at (0.5000, 0.5000, 0.2437), Mg at (0.5000, 0.5000, 0.5000) and Zn at (0.5000, 0.5000, 0.0000).


No. 7
A geometry-optimized CaTeAsBr2 structure, computed with PBE.

Its density of states at the Fermi level is 3.32 states/eV/cell. The formation energy without anion corrections comes out at -1.323 eV/f.u. The value obtained for the energy above the most stable polymorph in this dataset is 0.00 kcal/mol of atoms. The total magnetization is 1.481 Bohr magnetons per cell. As for the volume: 179.3 Å³ per cell.

The structure belongs to space group P4/mmm (No. 123); the cell edges are 5.3146, 5.3146 and 6.3472 Å and the angles 90.00°, 90.00° and 90.00°. The asymmetric unit holds Ca at (0.0000, 0.0000, 0.0000), Te at (0.5000, 0.5000, 0.5000), As at (0.0000, 0.0000, 0.5000) and Br at (0.0000, 0.5000, 0.0000).


No. 8
A geometry-optimized YZn2Ni structure, computed with PBE.

The uncorrected energy comes out at -3.901 eV/atom. Its density of states at the Fermi level is 2.95 states/eV/cell. The total magnetization is 0.111 Bohr magnetons per cell. As for the volume: 68.3 Å³ per cell.

The structure belongs to space group P4/mmm (No. 123); the cell edges are 3.1947, 3.1947 and 6.6877 Å and the angles 90.00°, 90.00° and 90.00°. The asymmetric unit holds Y at (0.0000, 0.0000, 0.0000), Zn at (0.5000, 0.5000, 0.3112) and Ni at (0.0000, 0.0000, 0.5000).


No. 9
A geometry-optimized CrNiOs3 structure, computed with PBE.

Its density of states at the Fermi level is 9.17 states/eV/cell. The value obtained for the energy above the most stable polymorph in this dataset is 40.96 kcal/mol of atoms. The total magnetization is 0.001 Bohr magnetons per cell. As for the volume: 82.1 Å³ per cell.

The structure belongs to space group Pm-3m (No. 221); the cell edges are 4.3468, 4.3468 and 4.3468 Å and the angles 90.00°, 90.00° and 90.00°. The asymmetric unit holds Cr at (0.0000, 0.0000, 0.0000), Ni at (0.5000, 0.5000, 0.5000) and Os at (0.0000, 0.5000, 0.5000).


No. 10
A geometry-optimized Nd2GaBiO6 structure, computed with PBE.

Its density of states at the Fermi level is 0.00 states/eV/cell. The formation energy without anion corrections comes out at -22.621 eV/f.u. The total magnetization is 0.000 Bohr magnetons per cell. As for the volume: 159.2 Å³ per cell.

The structure belongs to space group P4mm (No. 99); the cell edges are 5.4376, 5.4376 and 5.3856 Å and the angles 90.00°, 90.00° and 90.00°. The asymmetric unit holds Nd at (0.0000, 0.5000, 0.0000), Ga at (0.0000, 0.0000, 0.5957), Bi at (0.5000, 0.5000, 0.5599), O at (0.0000, 0.0000, 0.2487), O at (0.2349, 0.2349, 0.7462) and O at (0.5000, 0.5000, 0.1299).


No. 11
A geometry-optimized PuPaBiO6 structure, computed with PBE.

Its density of states at the Fermi level is 7.50 states/eV/cell. The formation energy without anion corrections comes out at -23.740 eV/f.u. The total magnetization is 8.000 Bohr magnetons per cell. As for the volume: 289.9 Å³ per cell.

The structure belongs to space group P-31c (No. 163); the cell edges are 5.9520, 5.9520 and 9.4503 Å and the angles 90.00°, 90.00° and 120.00°. The asymmetric unit holds Pu at (0.3333, 0.6667, 0.2500), Pa at (0.3333, 0.6667, 0.7500), Bi at (0.0000, 0.0000, 0.0000) and O at (0.0041, 0.3510, 0.6364).


No. 12
A geometry-optimized CsCeSe3 structure, computed with PBE.

Its density of states at the Fermi level is 43.16 states/eV/cell. The formation energy without anion corrections comes out at -6.160 eV/f.u. The value obtained for the energy above the most stable polymorph in this dataset is 2.65 kcal/mol of atoms. The total magnetization is 0.000 Bohr magnetons per cell. As for the volume: 1155.4 Å³ per cell.

The structure belongs to space group R-3 (No. 148, hexagonal axes); the cell edges are 7.5798, 7.5798 and 23.2207 Å and the angles 90.00°, 90.00° and 120.00°. The asymmetric unit holds Cs at (0.0000, 0.0000, 0.1226), Ce at (0.0000, 0.0000, 0.3335) and Se at (0.0002, 0.4986, 0.0776).


No. 13
A geometry-optimized SnSe3 structure, computed with PBE.

Its density of states at the Fermi level is 2.40 states/eV/cell. The formation energy without anion corrections comes out at -0.378 eV/f.u. The total magnetization is 0.000 Bohr magnetons per cell. As for the volume: 100.0 Å³ per cell.

The structure belongs to space group Pmm2 (No. 25); the cell edges are 4.1351, 5.8458 and 4.1367 Å and the angles 90.00°, 90.00° and 90.00°. The asymmetric unit holds Sn at (0.0000, 0.0000, 0.0000), Se at (0.0000, 0.5000, 0.0019), Se at (0.5000, 0.0000, 0.5004) and Se at (0.5000, 0.5000, 0.5017).


No. 14
A geometry-optimized Ba6LiCa structure, computed with PBE.

Its density of states at the Fermi level is 28.51 states/eV/cell. The value obtained for the energy above the most stable polymorph in this dataset is 0.00 kcal/mol of atoms. The total magnetization is 0.002 Bohr magnetons per cell. As for the volume: 908.2 Å³ per cell.

The structure belongs to space group I4/mmm (No. 139); the cell edges are 6.4602, 6.4602 and 21.7620 Å and the angles 90.00°, 90.00° and 90.00°. The asymmetric unit holds Ba at (0.0000, 0.0000, 0.2469), Ba at (0.0000, 0.5000, 0.1061), Li at (0.0000, 0.0000, 0.5000) and Ca at (0.0000, 0.0000, 0.0000).


No. 15
A geometry-optimized TaCdIn2 structure, computed with PBE.

The uncorrected energy comes out at -3.918 eV/atom. Its density of states at the Fermi level is 16.37 states/eV/cell. The total magnetization is 0.000 Bohr magnetons per cell. As for the volume: 368.1 Å³ per cell.

The structure belongs to space group I-42d (No. 122); the cell edges are 7.8031, 7.8031 and 6.0462 Å and the angles 90.00°, 90.00° and 90.00°. The asymmetric unit holds Ta at (0.0000, 0.0000, 0.0000), Cd at (0.0000, 0.0000, 0.5000) and In at (0.2455, 0.2500, 0.6250).


No. 16
A geometry-optimized CuRu2W structure, computed with PBE.

Its density of states at the Fermi level is 10.51 states/eV/cell. The value obtained for the energy above the most stable polymorph in this dataset is 2.51 kcal/mol of atoms. The total magnetization is 0.001 Bohr magnetons per cell. As for the volume: 112.4 Å³ per cell.

The structure belongs to space group I-4m2 (No. 119); the cell edges are 3.7396, 3.7396 and 8.0383 Å and the angles 90.00°, 90.00° and 90.00°. The asymmetric unit holds Cu at (0.0000, 0.0000, 0.0000), Ru at (0.0000, 0.0000, 0.5000), Ru at (0.0000, 0.5000, 0.2500) and W at (0.0000, 0.5000, 0.7500).


No. 17
A geometry-optimized Sr3Sn5Sb12 structure, computed with PBE.

Its density of states at the Fermi level is 186.84 states/eV/cell. The formation energy without anion corrections comes out at 0.236 eV/f.u. The total magnetization is 0.001 Bohr magnetons per cell. As for the volume: 5862.9 Å³ per cell.

The structure belongs to space group Ia-3d (No. 230); the cell edges are 18.0318, 18.0318 and 18.0318 Å and the angles 90.00°, 90.00° and 90.00°. The asymmetric unit holds Sr at (0.0000, 0.2500, 0.1250), Sn at (0.0000, 0.0000, 0.0000), Sn at (0.0000, 0.2500, 0.3750) and Sb at (0.0245, 0.0723, 0.6483).


No. 18
A geometry-optimized YTm2Co structure, computed with PBE.

Its density of states at the Fermi level is 14.93 states/eV/cell. The value obtained for the energy above the most stable polymorph in this dataset is 3.61 kcal/mol of atoms. The total magnetization is 0.004 Bohr magnetons per cell. As for the volume: 319.7 Å³ per cell.

The structure belongs to space group R3m (No. 160, hexagonal axes); the cell edges are 3.7388, 3.7388 and 26.4089 Å and the angles 90.00°, 90.00° and 120.00°. The asymmetric unit holds Y at (0.0000, 0.0000, 0.0000), Tm at (0.0000, 0.0000, 0.5544), Tm at (0.0000, 0.0000, 0.7749) and Co at (0.0000, 0.0000, 0.1646).


No. 19
A geometry-optimized AgI2Br structure, computed with PBE.

The formation energy without anion corrections comes out at -0.545 eV/f.u. The value obtained for the energy above the most stable polymorph in this dataset is 0.00 kcal/mol of atoms. The total magnetization is 0.000 Bohr magnetons per cell. As for the volume: 651.2 Å³ per cell.

The structure belongs to space group P2_1/c (No. 14); the cell edges are 8.5747, 4.9518 and 17.0939 Å and the angles 90.00°, 116.20° and 90.00°. The asymmetric unit holds Ag at (0.2012, 0.1582, 0.2433), I at (0.2429, 0.0297, 0.6149), I at (0.4289, 0.7210, 0.8678) and Br at (0.1311, 0.0167, 0.8595).


No. 20
A geometry-optimized TiSbPb2I structure, computed with PBE.

Its density of states at the Fermi level is 6.48 states/eV/cell. The formation energy without anion corrections comes out at 0.346 eV/f.u. The total magnetization is 0.000 Bohr magnetons per cell. As for the volume: 164.8 Å³ per cell.

The structure belongs to space group P4/mmm (No. 123); the cell edges are 5.6427, 5.6427 and 5.1772 Å and the angles 90.00°, 90.00° and 90.00°. The asymmetric unit holds Ti at (0.0000, 0.0000, 0.0000), Sb at (0.0000, 0.0000, 0.5000), Pb at (0.0000, 0.5000, 0.0000) and I at (0.5000, 0.5000, 0.5000).


No. 21
A geometry-optimized Ag4PdAu5 structure, computed with PBE.

Its density of states at the Fermi level is 3.93 states/eV/cell. The value obtained for the energy above the most stable polymorph in this dataset is 0.00 kcal/mol of atoms. The total magnetization is 0.000 Bohr magnetons per cell. As for the volume: 176.7 Å³ per cell.

The structure belongs to space group P4/mmm (No. 123); the cell edges are 2.9318, 2.9318 and 20.5585 Å and the angles 90.00°, 90.00° and 90.00°. The asymmetric unit holds Ag at (0.0000, 0.0000, 0.1015), Ag at (0.0000, 0.0000, 0.3045), Pd at (0.0000, 0.0000, 0.5000), Au at (0.5000, 0.5000, 0.0000), Au at (0.5000, 0.5000, 0.2029) and Au at (0.5000, 0.5000, 0.4048).